This record from Alexandria via LeMat-Bulk describes a relaxed structure of CdPPt2. The functional is PBE.

The structure in POSCAR format:
```
CdPPt2
1.0
2.848 -0.239 3.515
-1.320 -1.980 3.854
1.766 -3.990 1.217
Cd Pt P
1 2 1
direct
0.500 0.500 0.500
0.250 0.250 0.250
0.750 0.750 0.750
0.000 0.000 0.000
```

Excess energy over the best structure of this formula in the dataset = 28.4 kJ/mol of atoms
Uncorrected energy = -4.565 eV/atom
E_form = 0.036 eV per atom